Entry 1:
This record from Alexandria via LeMat-Bulk describes a geometry-optimized FeW2 structure. The functional is GGA-PBEsol.

Cell lengths 4.7938, 4.8092, 4.8092 Å; angles 75.62, 60.11, 60.11 degrees
Last column: nearest neighbours and their distance in Å.
Element x y z (fractional)
W1 0.8398 0.5000 0.8203  4 Fe 2.52, 1 W 2.67
W2 0.1601 0.5000 0.1797  4 Fe 2.52, 1 W 2.67
Fe1 0.7500 0.0000 0.0000  2 Fe 2.40, 8 W 2.52
W3 0.6602 0.1797 0.5000  4 Fe 2.52, 1 W 2.67
Fe2 0.2500 0.0000 0.0000  2 Fe 2.40, 8 W 2.52
W4 0.3398 0.8203 0.5000  4 Fe 2.52, 1 W 2.67

Entry 2:
This record from Alexandria via LeMat-Bulk describes a geometry-optimized YFeW2 structure. The functional is GGA-PBEsol.

Cell lengths 2.8129, 2.8129, 8.2676 Å; angles 90.00, 90.00, 90.01 degrees
Last column: nearest neighbours and their distance in Å.
Element x y z (fractional)
Fe1 0.5000 0.5000 0.0000  8 W 2.58, 4 Fe 2.81
Y1 0.5000 0.5000 0.5000  4 Y 2.81
W1 0.0000 0.0000 0.1982  4 Fe 2.58, 4 W 2.81
W2 0.0000 0.0000 0.8018  4 Fe 2.58, 4 W 2.81

Entry 3:
This record from Alexandria via LeMat-Bulk describes a geometry-optimized YFeW2 structure. The functional is GGA-PBEsol.

Cell lengths 3.2101, 4.4890, 4.4890 Å; angles 90.00, 90.00, 90.00 degrees
Last column: nearest neighbours and their distance in Å.
Element x y z (fractional)
W1 0.0000 0.0000 0.5000  4 Fe 2.76, 4 Y 2.76
W2 0.0000 0.5000 0.0000  4 Fe 2.76, 4 Y 2.76
Y1 0.5000 0.5000 0.5000  8 W 2.76
Fe1 0.5000 0.0000 0.0000  8 W 2.76

Entry 4:
This record from Alexandria via LeMat-Bulk describes a geometry-optimized YFeW3 structure. The functional is GGA-PBEsol.

Cell lengths 4.6920, 4.6920, 4.6920 Å; angles 90.00, 90.00, 90.00 degrees
Last column: nearest neighbours and their distance in Å.
Element x y z (fractional)
Fe1 0.5000 0.5000 0.5000  12 W 3.32
Y1 0.0000 0.0000 0.0000  6 W 2.35
W1 0.0000 0.0000 0.5000  2 Y 2.35
W2 0.0000 0.5000 0.0000  2 Y 2.35
W3 0.5000 0.0000 0.0000  2 Y 2.35

Entry 5:
This record from Alexandria via LeMat-Bulk describes a geometry-optimized Y2FeW2 structure. The functional is GGA-PBEsol.

Cell lengths 3.5630, 3.5630, 8.9397 Å; angles 101.49, 101.49, 90.00 degrees
Last column: nearest neighbours and their distance in Å.
Element x y z (fractional)
W1 0.2500 0.7500 0.5000  4 W 2.52
Y1 0.4027 0.4027 0.8055  4 Fe 3.02, 4 W 3.17, 1 Y 3.34
W2 0.7500 0.2500 0.5000  4 W 2.52
Y2 0.5973 0.5973 0.1945  4 Fe 3.02, 4 W 3.17, 1 Y 3.34
Fe1 0.0000 0.0000 0.0000  8 Y 3.02

Entry 6:
This record from Alexandria via LeMat-Bulk describes a geometry-optimized ZnFe2W structure. The functional is GGA-PBEsol.

Cell lengths 2.6631, 2.6631, 8.4577 Å; angles 80.94, 80.94, 60.00 degrees
Last column: nearest neighbours and their distance in Å.
Element x y z (fractional)
Fe1 0.2510 0.2510 0.2469  3 Zn 2.57, 3 W 2.61, 6 Fe 2.66
Fe2 0.7490 0.7490 0.7531  3 Zn 2.57, 3 W 2.61, 6 Fe 2.66
Zn1 0.0000 0.0000 0.0000  6 Fe 2.57, 6 Zn 2.66
W1 0.5000 0.5000 0.5000  6 Fe 2.61, 6 W 2.66

Entry 7:
This record from Alexandria via LeMat-Bulk describes a geometry-optimized ZnFe2W structure. The functional is GGA-PBEsol.

Cell lengths 2.9465, 2.9465, 5.5995 Å; angles 90.00, 90.00, 90.00 degrees
Last column: nearest neighbours and their distance in Å.
Element x y z (fractional)
Zn1 0.5000 0.5000 0.5000  8 Fe 2.52, 2 W 2.80
Fe1 0.0000 0.0000 0.7543  4 W 2.50, 4 Zn 2.52, 1 Fe 2.75
Fe2 0.0000 0.0000 0.2457  4 W 2.50, 4 Zn 2.52, 1 Fe 2.75
W1 0.5000 0.5000 0.0000  8 Fe 2.50

Entry 8:
This record from Alexandria via LeMat-Bulk describes a geometry-optimized ZnFeW2 structure. The functional is GGA-PBEsol.

Cell lengths 3.2064, 3.2064, 5.4114 Å; angles 90.00, 90.00, 90.00 degrees
Last column: nearest neighbours and their distance in Å.
Element x y z (fractional)
W1 0.0000 0.0000 0.7318  1 W 2.51, 4 Fe 2.59, 4 Zn 2.69
Fe1 0.5000 0.5000 0.5000  8 W 2.59, 2 Zn 2.71
W2 0.0000 0.0000 0.2682  1 W 2.51, 4 Fe 2.59, 4 Zn 2.69
Zn1 0.5000 0.5000 0.0000  8 W 2.69, 2 Fe 2.71

Entry 9:
This record from Alexandria via LeMat-Bulk describes a geometry-optimized ZnFe2W structure. The functional is GGA-PBEsol.

Cell lengths 4.1446, 4.1446, 4.1446 Å; angles 60.00, 60.00, 60.00 degrees
Last column: nearest neighbours and their distance in Å.
Element x y z (fractional)
W1 0.5000 0.5000 0.5000  4 Fe 2.54, 4 Zn 2.54
Fe1 0.7500 0.7500 0.7500  4 Fe 2.54, 4 W 2.54
Fe2 0.0000 0.0000 0.0000  4 Zn 2.54, 4 Fe 2.54
Zn1 0.2500 0.2500 0.2500  4 W 2.54, 4 Fe 2.54

Entry 10:
This record from Alexandria via LeMat-Bulk describes a geometry-optimized ZnFe6W structure. The functional is GGA-PBEsol.

Cell lengths 6.1951, 6.1951, 10.1340 Å; angles 90.00, 90.00, 109.99 degrees
Last column: nearest neighbours and their distance in Å.
Element x y z (fractional)
Fe1 0.1284 0.3774 0.6246  1 Zn 2.50, 8 Fe 2.50-2.56, 3 W 2.51-2.54
Fe2 0.2508 0.7492 0.7516  8 Fe 2.49-2.56, 2 Zn 2.52-2.53, 2 W 2.55
Fe3 0.7492 0.2508 0.7516  8 Fe 2.49-2.56, 2 Zn 2.52-2.53, 2 W 2.55
W1 0.7554 0.2446 0.5000  12 Fe 2.48-2.59
Fe4 0.8726 0.6197 0.1246  8 Fe 2.49-2.57, 3 Zn 2.51-2.52, 1 W 2.59
Fe5 0.3774 0.1284 0.6246  1 Zn 2.50, 8 Fe 2.50-2.56, 3 W 2.51-2.54
W2 0.2446 0.7554 0.5000  12 Fe 2.48-2.59
Fe6 0.8726 0.6197 0.8754  8 Fe 2.49-2.57, 3 Zn 2.51-2.52, 1 W 2.59
Fe7 0.3774 0.1284 0.3754  1 Zn 2.50, 8 Fe 2.50-2.56, 3 W 2.51-2.54
Fe8 0.5000 0.5000 0.0000  8 Fe 2.51, 4 Zn 2.54-2.56
Zn1 0.7526 0.2474 0.0000  12 Fe 2.51-2.56
Zn2 0.5000 0.5000 0.7491  12 Fe 2.50-2.54
Zn3 0.2474 0.7526 0.0000  12 Fe 2.51-2.56
Fe9 0.7492 0.2508 0.2484  8 Fe 2.49-2.56, 2 Zn 2.52-2.53, 2 W 2.55
Fe10 0.0000 0.0000 0.5000  4 W 2.47-2.48, 8 Fe 2.53
Fe11 0.3803 0.1274 0.1246  8 Fe 2.49-2.57, 3 Zn 2.51-2.52, 1 W 2.59
Fe12 0.2508 0.7492 0.2484  8 Fe 2.49-2.56, 2 Zn 2.52-2.53, 2 W 2.55
Fe13 0.3803 0.1274 0.8754  8 Fe 2.49-2.57, 3 Zn 2.51-2.52, 1 W 2.59
Fe14 0.1274 0.3803 0.1246  8 Fe 2.49-2.57, 3 Zn 2.51-2.52, 1 W 2.59
Fe15 0.1274 0.3803 0.8754  8 Fe 2.49-2.57, 3 Zn 2.51-2.52, 1 W 2.59
W3 0.0000 0.0000 0.2566  12 Fe 2.47-2.60
Fe16 0.0000 0.0000 0.0000  2 Zn 2.51, 8 Fe 2.55, 2 W 2.60
W4 0.0000 0.0000 0.7434  12 Fe 2.47-2.60
Fe17 0.6197 0.8726 0.8754  8 Fe 2.49-2.57, 3 Zn 2.51-2.52, 1 W 2.59
Fe18 0.1284 0.3774 0.3754  1 Zn 2.50, 8 Fe 2.50-2.56, 3 W 2.51-2.54
Fe19 0.6197 0.8726 0.1246  8 Fe 2.49-2.57, 3 Zn 2.51-2.52, 1 W 2.59
Fe20 0.5000 0.5000 0.5000  8 Fe 2.50, 2 Zn 2.52, 2 W 2.59
Fe21 0.6226 0.8716 0.6246  1 Zn 2.50, 8 Fe 2.50-2.56, 3 W 2.51-2.54
Fe22 0.6226 0.8716 0.3754  1 Zn 2.50, 8 Fe 2.50-2.56, 3 W 2.51-2.54
Zn4 0.5000 0.5000 0.2509  12 Fe 2.50-2.54
Fe23 0.8716 0.6226 0.6246  1 Zn 2.50, 8 Fe 2.50-2.56, 3 W 2.51-2.54
Fe24 0.8716 0.6226 0.3754  1 Zn 2.50, 8 Fe 2.50-2.56, 3 W 2.51-2.54

Entry 11:
This record from Alexandria via LeMat-Bulk describes a geometry-optimized Zn2FeW structure. The functional is GGA-PBEsol.

Cell lengths 2.5857, 4.2525, 4.9112 Å; angles 90.00, 101.31, 90.00 degrees
Last column: nearest neighbours and their distance in Å.
Element x y z (fractional)
Fe1 0.5000 0.5000 0.0000  4 Zn 2.51, 2 W 2.54, 2 Fe 2.59
W1 0.0000 0.5000 0.5000  2 Fe 2.54, 2 W 2.59, 4 Zn 2.70
Zn1 0.6745 0.0000 0.7613  2 Fe 2.51, 5 Zn 2.55-2.67, 2 W 2.70
Zn2 0.3255 0.0000 0.2387  2 Fe 2.51, 5 Zn 2.55-2.67, 2 W 2.70

Entry 12:
This record from Alexandria via LeMat-Bulk describes a geometry-optimized ZnFe2W structure. The functional is GGA-PBEsol.

Cell lengths 3.1015, 3.8712, 4.7524 Å; angles 114.04, 109.05, 90.00 degrees
Last column: nearest neighbours and their distance in Å.
Element x y z (fractional)
Fe1 0.2499 0.7499 0.4997  4 Zn 2.48, 2 W 2.50, 2 Fe 2.54
Fe2 0.9975 0.9975 0.9950  4 W 2.48, 2 Zn 2.53, 2 Fe 2.54
W1 0.5082 0.5082 0.0164  6 Fe 2.48-2.50, 4 Zn 2.64-2.72
Zn1 0.7445 0.2445 0.4889  6 Fe 2.48-2.53, 4 W 2.64-2.72

Entry 13:
This record from Alexandria via LeMat-Bulk describes a geometry-optimized ZnFe3W structure. The functional is GGA-PBEsol.

Cell lengths 4.4012, 4.4012, 4.4012 Å; angles 90.00, 90.00, 90.00 degrees
Last column: nearest neighbours and their distance in Å.
Element x y z (fractional)
Fe1 0.0000 0.0000 0.5000  2 W 2.20
Fe2 0.5000 0.0000 0.0000  2 W 2.20
W1 0.0000 0.0000 0.0000  6 Fe 2.20
Fe3 0.0000 0.5000 0.0000  2 W 2.20
Zn1 0.5000 0.5000 0.5000  12 Fe 3.11

Computed values of energy relative to the elements (unit: eV per formula unit) for the preceding records, in sequence: 0.13, 1.88, 3.45, 16.60, 3.90, 1.08, 0.11, 1.41, 1.06, 0.62, 0.91, 0.70, 8.21.